[1]
## Rb3Ac3RhO8 (PBE)

Data for crystalline Rb3Ac3RhO8 at its relaxed geometry.

Lattice parameters (Å, degrees): 7.3930 7.3930 19.8779 90.00 90.00 120.00
Space group R-3m (No. 166, hexagonal axes)
Symmetry-distinct sites (fractional):
Rb (0.0000, 0.5000, 0.0000)
Ac (0.0000, 0.5000, 0.5000)
Rh (0.0000, 0.0000, 0.5000)
O (0.0000, 0.0000, 0.2297)
O (0.0451, 0.5225, 0.2221)

Summary:
The density of states at the Fermi level is 0.46 states/eV per atom. For the uncorrected formation energy, the calculation gives -2103.4 meV per atom. Its crystal system is trigonal. The calculation puts the density at 6.19 g/cm3.

***

[2]
## RbAc2RhO4 (PBE)

Data for crystalline RbAc2RhO4 at its relaxed geometry.

Lattice parameters (Å, degrees): 3.8853 12.9612 12.9585 90.00 90.00 90.00
Space group Cmcm (No. 63)
Symmetry-distinct sites (fractional):
Rb (0.0000, 0.0700, 0.2500)
Ac (0.0000, 0.3676, 0.0605)
Rh (0.0000, 0.2079, 0.7500)
O (0.0000, 0.0000, 0.0000)
O (0.0000, 0.2463, 0.5902)
O (0.0000, 0.3956, 0.2500)

Summary:
The density of states at the Fermi level is 0.30 states/eV per atom. For the uncorrected formation energy, the calculation gives -2099.1 meV per atom. Its crystal system is orthorhombic. The calculation puts the density at 7.19 g/cm3.

***

[3]
## RbAcRhO3 (PBE)

Data for crystalline RbAcRhO3 at its relaxed geometry.

Lattice parameters (Å, degrees): 14.0587 3.9379 8.1832 90.00 105.77 90.00
Space group C2/m (No. 12)
Symmetry-distinct sites (fractional):
Rb (0.1386, 0.0000, 0.0607)
Ac (0.1516, 0.0000, 0.5825)
Rh (0.0073, 0.5000, 0.2911)
O (0.0082, 0.0000, 0.2946)
O (0.1476, 0.5000, 0.7765)
O (0.1658, 0.5000, 0.3750)

Summary:
The density of states at the Fermi level is 0.34 states/eV per atom. For the uncorrected formation energy, the calculation gives -1903.6 meV per atom. Its crystal system is monoclinic. The calculation puts the density at 7.06 g/cm3.

***

[4]
## Rb2AcRh2O7 (PBE)

Data for crystalline Rb2AcRh2O7 at its relaxed geometry.

Lattice parameters (Å, degrees): 4.0709 4.0709 22.1566 90.00 90.00 90.00
Space group I4/mmm (No. 139)
Symmetry-distinct sites (fractional):
Rb (0.0000, 0.0000, 0.1859)
Ac (0.0000, 0.0000, 0.0000)
Rh (0.0000, 0.0000, 0.4065)
O (0.0000, 0.0000, 0.3219)
O (0.0000, 0.0000, 0.5000)
O (0.0000, 0.5000, 0.0788)

Summary:
The density of states at the Fermi level is 0.58 states/eV per atom. For the uncorrected formation energy, the calculation gives -1449.8 meV per atom. Its crystal system is tetragonal. The calculation puts the density at 6.47 g/cm3.

***

[5]
## RbAcRhO4 (PBE)

Data for crystalline RbAcRhO4 at its relaxed geometry.

Lattice parameters (Å, degrees): 6.1920 5.8018 7.9160 90.00 106.86 90.00
Space group P2_1/m (No. 11)
Symmetry-distinct sites (fractional):
Rb (0.1217, 0.2500, 0.1064)
Ac (0.2137, 0.7500, 0.4823)
Rh (0.3660, 0.2500, 0.7203)
O (0.1202, 0.0275, 0.7040)
O (0.3237, 0.7500, 0.1833)
O (0.3611, 0.2500, 0.4733)

Summary:
The density of states at the Fermi level is 0.33 states/eV per atom. For the uncorrected formation energy, the calculation gives -1679.1 meV per atom. Its crystal system is monoclinic. The calculation puts the density at 5.85 g/cm3.

***

[6]
## Rb3Ac2RhO6 (PBE)

Data for crystalline Rb3Ac2RhO6 at its relaxed geometry.

Lattice parameters (Å, degrees): 6.3011 10.9110 6.9080 90.00 107.33 90.00
Space group C2/m (No. 12)
Symmetry-distinct sites (fractional):
Rb (0.0000, 0.0000, 0.0000)
Rb (0.0000, 0.3428, 0.0000)
Ac (0.0000, 0.1673, 0.5000)
Rh (0.0000, 0.5000, 0.5000)
O (0.2093, 0.3512, 0.6824)
O (0.2391, 0.5000, 0.3182)

Summary:
For the uncorrected formation energy, the calculation gives -1888.8 meV per atom. Its crystal system is monoclinic. The calculation puts the density at 6.66 g/cm3.

***

[7]
## Rb2AcRh3O8 (PBE)

Data for crystalline Rb2AcRh3O8 at its relaxed geometry.

Lattice parameters (Å, degrees): 6.5853 6.5853 20.0156 90.00 90.00 120.00
Space group R3m (No. 160, hexagonal axes)
Symmetry-distinct sites (fractional):
Rb (0.0000, 0.0000, 0.0000)
Rb (0.0000, 0.0000, 0.3403)
Ac (0.0000, 0.0000, 0.5160)
Rh (0.0024, 0.5012, 0.4947)
O (0.0000, 0.0000, 0.2097)
O (0.0000, 0.0000, 0.7786)
O (0.0319, 0.5160, 0.7793)
O (0.1960, 0.3919, 0.5484)

Summary:
The density of states at the Fermi level is 0.61 states/eV per atom. For the uncorrected formation energy, the calculation gives -1318.2 meV per atom. Its crystal system is trigonal. The calculation puts the density at 5.53 g/cm3.

***

[8]
## RbAc2RhO6 (PBE)

Data for crystalline RbAc2RhO6 at its relaxed geometry.

Lattice parameters (Å, degrees): 5.8040 6.5541 10.7919 90.00 122.12 90.00
Space group P2_1/c (No. 14)
Symmetry-distinct sites (fractional):
Rb (0.0000, 0.0000, 0.0000)
Ac (0.2140, 0.0162, 0.7199)
Rh (0.5000, 0.0000, 0.5000)
O (0.1950, 0.1444, 0.4917)
O (0.2227, 0.7111, 0.8616)
O (0.4553, 0.1565, 0.3258)

Summary:
The density of states at the Fermi level is 0.53 states/eV per atom. For the uncorrected formation energy, the calculation gives -2083.3 meV per atom. Its crystal system is monoclinic. The calculation puts the density at 7.05 g/cm3.

***

[9]
## RbAc4Rh3O12 (PBE)

Data for crystalline RbAc4Rh3O12 at its relaxed geometry.

Lattice parameters (Å, degrees): 8.8469 8.8469 8.8469 90.00 90.00 90.00
Space group Im-3 (No. 204)
Symmetry-distinct sites (fractional):
Rb (0.0000, 0.0000, 0.0000)
Ac (0.2500, 0.2500, 0.2500)
Rh (0.0000, 0.0000, 0.5000)
O (0.0000, 0.3367, 0.1501)

Summary:
The density of states at the Fermi level is 0.28 states/eV per atom. For the uncorrected formation energy, the calculation gives -1944.7 meV per atom. Its crystal system is cubic. The calculation puts the density at 7.17 g/cm3.

***

[10]
## RbAcRuO6 (PBE)

Data for crystalline RbAcRuO6 at its relaxed geometry.

Lattice parameters (Å, degrees): 5.9231 5.9231 6.0145 90.00 90.00 120.00
Space group P312 (No. 149)
Symmetry-distinct sites (fractional):
Rb (0.0000, 0.0000, 0.0000)
Ac (0.3333, 0.6667, 0.5000)
Ru (0.6667, 0.3333, 0.5000)
O (0.4097, 0.0664, 0.6798)

Summary:
For the uncorrected formation energy, the calculation gives -1495.5 meV per atom. Its crystal system is trigonal. The calculation puts the density at 4.63 g/cm3.

***

[11]
## Rb3Ac2RuO6 (PBE)

Data for crystalline Rb3Ac2RuO6 at its relaxed geometry.

Lattice parameters (Å, degrees): 6.2816 10.9327 6.9159 90.00 107.53 90.00
Space group C2/m (No. 12)
Symmetry-distinct sites (fractional):
Rb (0.0000, 0.0000, 0.0000)
Rb (0.0000, 0.3432, 0.0000)
Ac (0.0000, 0.1657, 0.5000)
Ru (0.0000, 0.5000, 0.5000)
O (0.2034, 0.3537, 0.6784)
O (0.2466, 0.5000, 0.3125)

Summary:
The density of states at the Fermi level is 0.49 states/eV per atom. For the uncorrected formation energy, the calculation gives -1874.6 meV per atom. Its crystal system is monoclinic. The calculation puts the density at 6.65 g/cm3.

***

[12]
## Rb4Ac3RuO8 (PBE)

Data for crystalline Rb4Ac3RuO8 at its relaxed geometry.

Lattice parameters (Å, degrees): 7.4205 7.4205 19.8073 90.00 90.00 120.00
Space group R-3m (No. 166, hexagonal axes)
Symmetry-distinct sites (fractional):
Rb (0.0000, 0.0000, 0.0000)
Rb (0.0000, 0.5000, 0.0000)
Ac (0.0000, 0.5000, 0.5000)
Ru (0.0000, 0.0000, 0.5000)
O (0.0000, 0.0000, 0.2306)
O (0.0303, 0.5151, 0.2265)

Summary:
The density of states at the Fermi level is 0.58 states/eV per atom. For the uncorrected formation energy, the calculation gives -1987.8 meV per atom. Its crystal system is trigonal. The calculation puts the density at 6.60 g/cm3.

***

[13]
## Rb2AcRuO4 (PBE)

Data for crystalline Rb2AcRuO4 at its relaxed geometry.

Lattice parameters (Å, degrees): 6.5055 6.5055 7.5666 90.00 90.00 90.00
Space group I-4 (No. 82)
Symmetry-distinct sites (fractional):
Rb (0.0000, 0.0000, 0.0000)
Rb (0.0000, 0.5000, 0.2500)
Ac (0.0000, 0.0000, 0.5000)
Ru (0.0000, 0.5000, 0.7500)
O (0.1548, 0.2435, 0.7033)

Summary:
For the uncorrected formation energy, the calculation gives -1681.1 meV per atom. Its crystal system is tetragonal. The calculation puts the density at 5.84 g/cm3.

***

[14]
## Rb3Ac3RuO8 (PBE)

Data for crystalline Rb3Ac3RuO8 at its relaxed geometry.

Lattice parameters (Å, degrees): 7.3896 7.3896 19.8854 90.00 90.00 120.00
Space group R-3m (No. 166, hexagonal axes)
Symmetry-distinct sites (fractional):
Rb (0.0000, 0.5000, 0.0000)
Ac (0.0000, 0.5000, 0.5000)
Ru (0.0000, 0.0000, 0.5000)
O (0.0000, 0.0000, 0.2299)
O (0.0468, 0.5234, 0.2216)

Summary:
The density of states at the Fermi level is 0.39 states/eV per atom. For the uncorrected formation energy, the calculation gives -2144.7 meV per atom. Its crystal system is trigonal. The calculation puts the density at 6.18 g/cm3.

***

[15]
## RbAc2RuO5 (PBE)

Data for crystalline RbAc2RuO5 at its relaxed geometry.

Lattice parameters (Å, degrees): 7.2914 7.2914 5.9770 90.00 90.00 90.00
Space group P4/mbm (No. 127)
Symmetry-distinct sites (fractional):
Rb (0.0000, 0.0000, 0.0000)
Ac (0.1811, 0.3189, 0.5000)
Ru (0.0000, 0.5000, 0.0000)
O (0.0000, 0.0000, 0.5000)
O (0.1284, 0.6284, 0.2435)

Summary:
For the uncorrected formation energy, the calculation gives -2293.0 meV per atom. Its crystal system is tetragonal. The calculation puts the density at 7.53 g/cm3.

***

[16]
## RbAc2RuO8 (PBE)

Data for crystalline RbAc2RuO8 at its relaxed geometry.

Lattice parameters (Å, degrees): 4.4273 5.4758 7.7437 90.00 106.26 90.00
Space group P2/m (No. 10)
Symmetry-distinct sites (fractional):
Rb (0.0000, 0.0000, 0.0000)
Ac (0.3737, 0.5000, 0.7079)
Ru (0.0000, 0.0000, 0.5000)
O (0.1650, 0.5000, 0.9958)
O (0.1887, 0.2597, 0.3966)
O (0.3400, 0.0000, 0.7138)

Summary:
The density of states at the Fermi level is 0.39 states/eV per atom. For the uncorrected formation energy, the calculation gives -1876.0 meV per atom. Its crystal system is monoclinic. The calculation puts the density at 7.08 g/cm3.

***

[17]
## RbAcSO (PBE)

Data for crystalline RbAcSO at its relaxed geometry.

Lattice parameters (Å, degrees): 4.1327 4.1327 22.0800 90.00 90.00 120.00
Space group R3m (No. 160, hexagonal axes)
Symmetry-distinct sites (fractional):
Rb (0.0000, 0.0000, 0.0000)
Ac (0.0000, 0.0000, 0.4870)
S (0.0000, 0.0000, 0.2367)
O (0.0000, 0.0000, 0.7772)

Summary:
The density of states at the Fermi level is 0.00 states/eV per atom. For the uncorrected formation energy, the calculation gives -2157.2 meV per atom. Its crystal system is trigonal. The calculation puts the density at 5.50 g/cm3.

***

[18]
## Rb2AcSO8 (PBE)

Data for crystalline Rb2AcSO8 at its relaxed geometry.

Lattice parameters (Å, degrees): 6.0059 6.0059 6.5714 90.00 90.00 120.00
Space group P-3m1 (No. 164)
Symmetry-distinct sites (fractional):
Rb (0.3333, 0.6667, 0.3745)
Ac (0.0000, 0.0000, 0.0000)
S (0.0000, 0.0000, 0.5000)
O (0.1272, 0.2544, 0.6496)
O (0.3333, 0.6667, 0.9829)

Summary:
The density of states at the Fermi level is 0.66 states/eV per atom. For the uncorrected formation energy, the calculation gives -973.9 meV per atom. Its crystal system is trigonal. The calculation puts the density at 4.51 g/cm3.

***

[19]
## RbAcS2O8 (PBE)

Data for crystalline RbAcS2O8 at its relaxed geometry.

Lattice parameters (Å, degrees): 5.7056 5.7056 8.5645 90.00 90.00 120.00
Space group P-3m1 (No. 164)
Symmetry-distinct sites (fractional):
Rb (0.0000, 0.0000, 0.0000)
Ac (0.0000, 0.0000, 0.5000)
S (0.3333, 0.6667, 0.2508)
O (0.1916, 0.3832, 0.3143)
O (0.3333, 0.6667, 0.0809)

Summary:
The density of states at the Fermi level is 0.00 states/eV per atom. For the uncorrected formation energy, the calculation gives -2088.6 meV per atom. Its crystal system is trigonal. The calculation puts the density at 3.47 g/cm3.